# 1
# Rb2CaRhCl6

A geometry-optimized Rb2CaRhCl6 structure (PBE-GGA, the Alexandria database).

```
data_Rb2CaRhCl6
_symmetry_space_group_name_H-M 'I 4/m m m'
_symmetry_Int_Tables_number 139
_symmetry_space_group_name_Hall '-I 4 2'
_cell_length_a 7.417
_cell_length_b 7.417
_cell_length_c 10.192
_cell_angle_alpha 90.00
_cell_angle_beta 90.00
_cell_angle_gamma 90.00
loop_
_atom_site_label
_atom_site_type_symbol
_atom_site_fract_x
_atom_site_fract_y
_atom_site_fract_z
Rb1 Rb 0.000 0.500 0.250
Ca1 Ca 0.000 0.000 0.000
Rh1 Rh 0.000 0.000 0.500
Cl1 Cl 0.000 0.000 0.268
Cl2 Cl 0.242 0.242 0.500
```

Properties
N(E_F): 0.19 states/eV per atom

***

# 2
# Ac2NdAl3Au12

A geometry-optimized Ac2NdAl3Au12 structure (PBE-GGA, the Alexandria database).

```
data_Ac2NdAl3Au12
_symmetry_space_group_name_H-M 'R -3 m'
_symmetry_Int_Tables_number 166
_symmetry_space_group_name_Hall '-R 3 2"'
_cell_length_a 9.0940
_cell_length_b 9.0940
_cell_length_c 19.0602
_cell_angle_alpha 90.00
_cell_angle_beta 90.00
_cell_angle_gamma 120.00
loop_
_atom_site_label
_atom_site_type_symbol
_atom_site_fract_x
_atom_site_fract_y
_atom_site_fract_z
Ac1 Ac 0.0000 0.0000 0.0999
Nd1 Nd 0.0000 0.0000 0.5000
Al1 Al 0.0000 0.5000 0.0000
Au1 Au 0.0245 0.5123 0.3187
Au2 Au 0.0307 0.5154 0.8676
```

Properties
N(E_F): 0.35 states/eV per atom

***

# 3
# MgTlCr2

A geometry-optimized MgTlCr2 structure (PBE-GGA, the Alexandria database).

```
data_MgTlCr2
_symmetry_space_group_name_H-M 'P 4 m m'
_symmetry_Int_Tables_number 99
_symmetry_space_group_name_Hall 'P 4 -2'
_cell_length_a 3.187
_cell_length_b 3.187
_cell_length_c 7.144
_cell_angle_alpha 90.00
_cell_angle_beta 90.00
_cell_angle_gamma 90.00
loop_
_atom_site_label
_atom_site_type_symbol
_atom_site_fract_x
_atom_site_fract_y
_atom_site_fract_z
Mg1 Mg 0.000 0.000 0.000
Tl1 Tl 0.500 0.500 0.312
Cr1 Cr 0.000 0.000 0.595
Cr2 Cr 0.500 0.500 0.740
```

Properties
N(E_F): 0.48 states/eV per atom

***

# 4
# Cs2BaTeS4

A geometry-optimized Cs2BaTeS4 structure (PBE-GGA, the Alexandria database).

```
data_Cs2BaTeS4
_symmetry_space_group_name_H-M 'F d d d'
_symmetry_Int_Tables_number 70
_cell_length_a 7.425
_cell_length_b 15.461
_cell_length_c 27.724
_cell_angle_alpha 90.00
_cell_angle_beta 90.00
_cell_angle_gamma 90.00
loop_
_symmetry_equiv_pos_as_xyz
'x,y,z'
'-x,-y,-z'
'-x+1/4,-y+1/4,z'
'x+1/4,y+1/4,-z'
'x,-y+1/4,-z+1/4'
'-x,y+1/4,z+1/4'
'-x+1/4,y,-z+1/4'
'x+1/4,-y,z+1/4'
'x,y+1/2,z+1/2'
'-x,-y+1/2,-z+1/2'
'-x+1/4,-y+3/4,z+1/2'
'x+1/4,y+3/4,-z+1/2'
'x,-y+3/4,-z+3/4'
'-x,y+3/4,z+3/4'
'-x+1/4,y+1/2,-z+3/4'
'x+1/4,-y+1/2,z+3/4'
'x+1/2,y,z+1/2'
'-x+1/2,-y,-z+1/2'
'-x+3/4,-y+1/4,z+1/2'
'x+3/4,y+1/4,-z+1/2'
'x+1/2,-y+1/4,-z+3/4'
'-x+1/2,y+1/4,z+3/4'
'-x+3/4,y,-z+3/4'
'x+3/4,-y,z+3/4'
'x+1/2,y+1/2,z'
'-x+1/2,-y+1/2,-z'
'-x+3/4,-y+3/4,z'
'x+3/4,y+3/4,-z'
'x+1/2,-y+3/4,-z+1/4'
'-x+1/2,y+3/4,z+1/4'
'-x+3/4,y+1/2,-z+1/4'
'x+3/4,-y+1/2,z+1/4'
loop_
_atom_site_label
_atom_site_type_symbol
_atom_site_fract_x
_atom_site_fract_y
_atom_site_fract_z
Cs1 Cs 0.125 0.125 0.319
Ba1 Ba 0.125 0.125 0.125
Te1 Te 0.125 0.125 0.625
S1 S 0.083 0.270 0.830
```

***

# 5
# Nb5TcMo2

A geometry-optimized Nb5TcMo2 structure (PBE-GGA, the Alexandria database).

```
data_Nb5TcMo2
_symmetry_space_group_name_H-M 'P b a m'
_symmetry_Int_Tables_number 55
_symmetry_space_group_name_Hall '-P 2 2ab'
_cell_length_a 5.492
_cell_length_b 10.829
_cell_length_c 4.639
_cell_angle_alpha 90.00
_cell_angle_beta 90.00
_cell_angle_gamma 90.00
loop_
_atom_site_label
_atom_site_type_symbol
_atom_site_fract_x
_atom_site_fract_y
_atom_site_fract_z
Nb1 Nb 0.000 0.000 0.000
Nb2 Nb 0.147 0.257 0.000
Nb3 Nb 0.163 0.617 0.500
Tc1 Tc 0.000 0.500 0.000
Mo1 Mo 0.165 0.878 0.500
```

Properties
N(E_F): 0.83 states/eV per atom

***

# 6
# CaLa3

A geometry-optimized CaLa3 structure (PBE-GGA, the Alexandria database).

```
data_CaLa3
_symmetry_space_group_name_H-M 'P -6 m 2'
_symmetry_Int_Tables_number 187
_symmetry_space_group_name_Hall 'P -6 2'
_cell_length_a 3.7580
_cell_length_b 3.7580
_cell_length_c 12.4726
_cell_angle_alpha 90.00
_cell_angle_beta 90.00
_cell_angle_gamma 120.00
loop_
_atom_site_label
_atom_site_type_symbol
_atom_site_fract_x
_atom_site_fract_y
_atom_site_fract_z
Ca1 Ca 0.0000 0.0000 0.0000
La1 La 0.3333 0.6667 0.2584
La2 La 0.6667 0.3333 0.5000
```

Properties
N(E_F): 1.67 states/eV per atom

***

# 7
# MnAl2Mo

A geometry-optimized MnAl2Mo structure (PBE-GGA, the Alexandria database).

```
data_MnAl2Mo
_symmetry_space_group_name_H-M 'I m m 2'
_symmetry_Int_Tables_number 44
_symmetry_space_group_name_Hall 'I 2 -2'
_cell_length_a 3.329
_cell_length_b 4.144
_cell_length_c 8.304
_cell_angle_alpha 90.00
_cell_angle_beta 90.00
_cell_angle_gamma 90.00
loop_
_atom_site_label
_atom_site_type_symbol
_atom_site_fract_x
_atom_site_fract_y
_atom_site_fract_z
Mn1 Mn 0.000 0.000 0.000
Al1 Al 0.000 0.000 0.513
Al2 Al 0.000 0.500 0.747
Mo1 Mo 0.000 0.500 0.272
```

Properties
N(E_F): 0.84 states/eV per atom

***

# 8
# CaTa2Co

A geometry-optimized CaTa2Co structure (PBE-GGA, the Alexandria database).

```
data_CaTa2Co
_symmetry_space_group_name_H-M 'I 4/m m m'
_symmetry_Int_Tables_number 139
_symmetry_space_group_name_Hall '-I 4 2'
_cell_length_a 3.881
_cell_length_b 3.881
_cell_length_c 9.860
_cell_angle_alpha 90.00
_cell_angle_beta 90.00
_cell_angle_gamma 90.00
loop_
_atom_site_label
_atom_site_type_symbol
_atom_site_fract_x
_atom_site_fract_y
_atom_site_fract_z
Ca1 Ca 0.000 0.000 0.000
Ta1 Ta 0.000 0.500 0.250
Co1 Co 0.000 0.000 0.500
```

Properties
N(E_F): 1.14 states/eV per atom
offset from the most stable computed form: 470 meV/atom

***

# 9
# PaGa2Br6

A geometry-optimized PaGa2Br6 structure (PBE-GGA, the Alexandria database).

```
data_PaGa2Br6
_symmetry_space_group_name_H-M 'R -3'
_symmetry_Int_Tables_number 148
_symmetry_space_group_name_Hall '-R 3'
_cell_length_a 7.9742
_cell_length_b 7.9742
_cell_length_c 19.7766
_cell_angle_alpha 90.00
_cell_angle_beta 90.00
_cell_angle_gamma 120.00
loop_
_atom_site_label
_atom_site_type_symbol
_atom_site_fract_x
_atom_site_fract_y
_atom_site_fract_z
Pa1 Pa 0.0000 0.0000 0.0000
Ga1 Ga 0.0000 0.0000 0.1977
Br1 Br 0.0355 0.6275 0.7532
```

Properties
N(E_F): 0.04 states/eV per atom

***

# 10
# RbCdBiAu2

A geometry-optimized RbCdBiAu2 structure (PBE-GGA, the Alexandria database).

```
data_RbCdBiAu2
_symmetry_space_group_name_H-M 'I m m 2'
_symmetry_Int_Tables_number 44
_symmetry_space_group_name_Hall 'I 2 -2'
_cell_length_a 4.681
_cell_length_b 4.845
_cell_length_c 12.650
_cell_angle_alpha 90.00
_cell_angle_beta 90.00
_cell_angle_gamma 90.00
loop_
_atom_site_label
_atom_site_type_symbol
_atom_site_fract_x
_atom_site_fract_y
_atom_site_fract_z
Rb1 Rb 0.000 0.000 0.000
Cd1 Cd 0.000 0.000 0.617
Bi1 Bi 0.000 0.500 0.764
Au1 Au 0.000 0.000 0.399
Au2 Au 0.000 0.500 0.257
```

Properties
N(E_F): 0.17 states/eV per atom

***

# 11
# RbMg4Tl2

A geometry-optimized RbMg4Tl2 structure (PBE-GGA, the Alexandria database).

```
data_RbMg4Tl2
_symmetry_space_group_name_H-M 'C m m m'
_symmetry_Int_Tables_number 65
_symmetry_space_group_name_Hall '-C 2 2'
_cell_length_a 4.757
_cell_length_b 18.192
_cell_length_c 4.879
_cell_angle_alpha 90.00
_cell_angle_beta 90.00
_cell_angle_gamma 90.00
loop_
_atom_site_label
_atom_site_type_symbol
_atom_site_fract_x
_atom_site_fract_y
_atom_site_fract_z
Rb1 Rb 0.000 0.000 0.000
Mg1 Mg 0.000 0.195 0.500
Mg2 Mg 0.000 0.310 0.000
Tl1 Tl 0.000 0.408 0.500
```

Properties
N(E_F): 0.53 states/eV per atom

***

# 12
# BaTe2P

A geometry-optimized BaTe2P structure (PBE-GGA, the Alexandria database).

```
data_BaTe2P
_symmetry_space_group_name_H-M 'P 4 m m'
_symmetry_Int_Tables_number 99
_symmetry_space_group_name_Hall 'P 4 -2'
_cell_length_a 3.797
_cell_length_b 3.797
_cell_length_c 9.315
_cell_angle_alpha 90.00
_cell_angle_beta 90.00
_cell_angle_gamma 90.00
loop_
_atom_site_label
_atom_site_type_symbol
_atom_site_fract_x
_atom_site_fract_y
_atom_site_fract_z
Ba1 Ba 0.000 0.000 0.000
Te1 Te 0.000 0.000 0.370
Te2 Te 0.500 0.500 0.766
P1 P 0.500 0.500 0.277
```

Properties
N(E_F): 0.68 states/eV per atom

***

Number 1: total moment 2.0 μB/cell, total DFT energy (no corrections) -76.087 eV/cell. Number 2: total moment 0.0 μB/cell, total DFT energy (no corrections) -207.357 eV/cell. Number 3: total moment 0.1 μB/cell, total DFT energy (no corrections) -21.932 eV/cell. Number 4: total moment 0.0 μB/cell, total DFT energy (no corrections) -235.740 eV/cell. Number 5: total moment 0.0 μB/cell, total DFT energy (no corrections) -165.764 eV/cell. Number 6: total moment 0.0 μB/cell, total DFT energy (no corrections) -16.656 eV/cell. Number 7: total moment 3.2 μB/cell, total DFT energy (no corrections) -56.045 eV/cell. Number 8: total moment 0.0 μB/cell, total DFT energy (no corrections) -60.128 eV/cell. Number 9: total moment 3.0 μB/cell, total DFT energy (no corrections) -105.324 eV/cell. Number 10: total moment 0.0 μB/cell, total DFT energy (no corrections) -26.341 eV/cell. Number 11: total moment 0.0 μB/cell, total DFT energy (no corrections) -24.194 eV/cell. Number 12: total moment 0.0 μB/cell, total DFT energy (no corrections) -15.123 eV/cell.